A geometry-optimized Dy4Ho5Er structure. Source: Alexandria via LeMat-Bulk, functional PBE.

Unit cell a=3.5306 b=6.7375 c=14.1976 alpha=93.67 beta=104.13 gamma=105.39
Element x y z (fractional)
Dy 0.6383 0.1743 0.7894
Dy 0.3617 0.8257 0.2106
Dy 0.8850 0.7053 0.8080
Dy 0.1150 0.2947 0.1920
Er 0.5000 0.0000 0.0000
Ho 0.7722 0.8755 0.5844
Ho 0.5000 0.5000 0.0000
Ho 0.2278 0.1245 0.4156
Ho 0.0682 0.4187 0.6152
Ho 0.9318 0.5813 0.3848

Results
Energy relative to the lowest polymorph listed for this composition in eV/atom: 0.000
Formation energy in eV per atom: 0.0574
Total moment in μB/f.u.: 0.0
Total energy in eV/f.u.: -45.3

***

A geometry-optimized Dy3Ho8Er2 structure. Source: Alexandria via LeMat-Bulk, functional PBE.

Unit cell a=5.5612 b=7.5640 c=10.6862 alpha=110.73 beta=90.02 gamma=90.00
Element x y z (fractional)
Ho 0.5002 0.3976 0.2176
Ho 0.5002 0.8199 0.2176
Ho 0.4998 0.1801 0.7824
Ho 0.0005 0.6687 0.3374
Ho 0.9999 0.1334 0.2668
Ho 0.0001 0.8666 0.7332
Ho 0.9995 0.3313 0.6626
Ho 0.4998 0.6024 0.7824
Er 0.4994 0.2413 0.4827
Er 0.5006 0.7587 0.5173
Dy 0.0000 0.2857 0.0000
Dy 0.0000 0.7143 0.0000
Dy 0.5000 0.0000 0.0000

Results
Formation energy in eV per atom: 0.2403
Total moment in μB/f.u.: 0.0
Total energy in eV/f.u.: -56.4

***

A geometry-optimized DyHo7Er12 structure. Source: Alexandria via LeMat-Bulk, functional PBE.

Unit cell a=6.6213 b=10.8158 c=10.8158 alpha=64.05 beta=78.23 gamma=101.77
Element x y z (fractional)
Er 0.4975 0.2123 0.5732
Er 0.9293 0.4268 0.7855
Er 0.2543 0.4583 0.4799
Er 0.5025 0.7877 0.4268
Er 0.2852 0.2145 0.2123
Er 0.2658 0.5201 0.9382
Er 0.7342 0.4799 0.0618
Er 0.0707 0.5732 0.2145
Er 0.7960 0.0618 0.4583
Er 0.7457 0.5417 0.5201
Er 0.2040 0.9382 0.5417
Er 0.7148 0.7855 0.7877
Ho 0.2097 0.8339 0.8613
Ho 0.0710 0.8613 0.3048
Ho 0.3758 0.3048 0.8339
Ho 0.7903 0.1661 0.1387
Ho 0.5000 0.0000 0.0000
Ho 0.6242 0.6952 0.1661
Ho 0.9290 0.1387 0.6952
Dy 0.0000 0.0000 0.0000

Results
Energy relative to the lowest polymorph listed for this composition in eV/atom: 0.035
Formation energy in eV per atom: 0.3442
Total moment in μB/f.u.: 0.0
Total energy in eV/f.u.: -84.5

***

A geometry-optimized DyHo5Er structure. Source: Alexandria via LeMat-Bulk, functional PBE.

Unit cell a=6.0823 b=7.9543 c=7.6659 alpha=121.25 beta=113.37 gamma=90.00
Element x y z (fractional)
Er 0.6935 0.5000 0.0000
Ho 0.1708 0.5000 0.0000
Ho 0.1902 0.2561 0.5122
Ho 0.4329 0.1789 0.0000
Ho 0.4329 0.8211 0.0000
Ho 0.6780 0.7439 0.4878
Dy 0.9324 0.0000 0.0000

Results
Energy relative to the lowest polymorph listed for this composition in eV/atom: 0.929
Formation energy in eV per atom: 0.9960
Total moment in μB/f.u.: 0.0
Total energy in eV/f.u.: -25.1

***

A geometry-optimized Dy2HoEr structure. Source: Alexandria via LeMat-Bulk, functional PBE.

Unit cell a=3.5196 b=3.5196 c=9.9571 alpha=90.00 beta=90.00 gamma=90.00
Element x y z (fractional)
Er 0.5000 0.5000 0.5000
Dy 0.0000 0.0000 0.7494
Dy 0.0000 0.0000 0.2506
Ho 0.5000 0.5000 0.0000

Results
Energy relative to the lowest polymorph listed for this composition in eV/atom: 0.011
Formation energy in eV per atom: 0.0205
Total moment in μB/f.u.: 0.0
Total energy in eV/f.u.: -18.3

***

A geometry-optimized Dy2Ho3Er8 structure. Source: Alexandria via LeMat-Bulk, functional PBE.

Unit cell a=5.4611 b=6.6932 c=12.1072 alpha=69.09 beta=103.05 gamma=90.00
Element x y z (fractional)
Dy 0.2304 0.3492 0.4608
Dy 0.7696 0.6508 0.5392
Er 0.6202 0.7435 0.2409
Er 0.6666 0.1919 0.3335
Er 0.1758 0.9116 0.3519
Er 0.3334 0.8081 0.6665
Er 0.0760 0.4435 0.1521
Er 0.3798 0.2565 0.7591
Er 0.9240 0.5565 0.8479
Er 0.8242 0.0884 0.6481
Ho 0.0000 0.0000 0.0000
Ho 0.4851 0.7444 0.9701
Ho 0.5149 0.2556 0.0299

Results
Energy relative to the lowest polymorph listed for this composition in eV/atom: 0.000
Formation energy in eV per atom: 0.0912
Total moment in μB/f.u.: 0.0
Total energy in eV/f.u.: -58.3

***

A geometry-optimized Dy2Ho2Er structure. Source: Alexandria via LeMat-Bulk, functional PBE.

Unit cell a=3.4868 b=5.6537 c=8.5410 alpha=109.35 beta=90.00 gamma=90.00
Element x y z (fractional)
Dy 0.2000 0.3998 0.7997
Dy 0.7000 0.5905 0.1809
Ho 0.7000 0.2094 0.4187
Ho 0.2000 0.7816 0.5631
Er 0.2000 0.0187 0.0375

Results
Energy relative to the lowest polymorph listed for this composition in eV/atom: 0.028
Formation energy in eV per atom: 0.1250
Total moment in μB/f.u.: 0.0
Total energy in eV/f.u.: -22.3

***

A geometry-optimized Dy3HoEr4 structure. Source: Alexandria via LeMat-Bulk, functional PBE.

Unit cell a=5.5668 b=3.5184 c=13.2293 alpha=89.98 beta=102.15 gamma=90.00
Element x y z (fractional)
Ho 0.5000 0.0000 0.0000
Er 0.6035 0.5004 0.2069
Er 0.7231 0.5008 0.4462
Er 0.3965 0.4996 0.7931
Er 0.2769 0.4992 0.5538
Dy 0.8449 0.0000 0.6897
Dy 0.0000 0.5000 0.0000
Dy 0.1551 0.0000 0.3103

Results
Energy relative to the lowest polymorph listed for this composition in eV/atom: 0.200
Formation energy in eV per atom: 0.2021
Total moment in μB/f.u.: 0.0
Total energy in eV/f.u.: -35.0

***

A geometry-optimized Dy5Ho5Er structure. Source: Alexandria via LeMat-Bulk, functional PBE.

Unit cell a=6.8137 b=9.4179 c=7.8920 alpha=114.85 beta=54.73 gamma=120.26
Element x y z (fractional)
Dy 0.7555 0.6431 0.6998
Dy 0.2445 0.3569 0.3002
Dy 0.5000 0.0000 0.0000
Dy 0.1531 0.3608 0.8565
Dy 0.8469 0.6392 0.1435
Er 0.0000 0.0000 0.0000
Ho 0.3426 0.7159 0.6475
Ho 0.0000 0.0000 0.5000
Ho 0.6612 0.2785 0.7661
Ho 0.6574 0.2841 0.3525
Ho 0.3388 0.7215 0.2339

Results
Energy relative to the lowest polymorph listed for this composition in eV/atom: 0.000
Formation energy in eV per atom: 0.1495
Total moment in μB/f.u.: 0.0
Total energy in eV/f.u.: -48.8

***

A geometry-optimized DyHo5Er4 structure. Source: Alexandria via LeMat-Bulk, functional PBE.

Unit cell a=3.5196 b=9.8914 c=10.5414 alpha=103.57 beta=120.07 gamma=90.07
Element x y z (fractional)
Er 0.7002 0.6999 0.8001
Er 0.3004 0.7999 0.2003
Er 0.6996 0.2001 0.7997
Er 0.2998 0.3001 0.1999
Ho 0.1001 0.1001 0.4000
Ho 0.8999 0.8999 0.6000
Ho 0.0991 0.5997 0.3995
Ho 0.9009 0.4003 0.6005
Ho 0.5000 0.5000 0.0000
Dy 0.5000 0.0000 0.0000

Results
Energy relative to the lowest polymorph listed for this composition in eV/atom: 0.000
Formation energy in eV per atom: 0.0209
Total moment in μB/f.u.: 0.0
Total energy in eV/f.u.: -45.5

***

A geometry-optimized Dy2Ho4Er7 structure. Source: Alexandria via LeMat-Bulk, functional PBE.

Unit cell a=5.9899 b=5.9899 c=13.1540 alpha=90.00 beta=90.00 gamma=120.00
Element x y z (fractional)
Er 0.6469 0.6469 0.2149
Er 0.6469 0.0000 0.7851
Er 0.0000 0.0000 0.0000
Er 0.0000 0.6469 0.7851
Er 0.3531 0.3531 0.7851
Er 0.3531 0.0000 0.2149
Er 0.0000 0.3531 0.2149
Dy 0.3333 0.6667 0.0000
Dy 0.6667 0.3333 0.0000
Ho 0.0000 0.0000 0.3939
Ho 0.3333 0.6667 0.5000
Ho 0.0000 0.0000 0.6061
Ho 0.6667 0.3333 0.5000

Results
Formation energy in eV per atom: 0.1789
Total moment in μB/f.u.: 0.0
Total energy in eV/f.u.: -57.1

***

A geometry-optimized Dy11Ho9Er4 structure. Source: Alexandria via LeMat-Bulk, functional PBE.

Unit cell a=3.6232 b=14.9892 c=14.9892 alpha=112.97 beta=90.00 gamma=90.00
Element x y z (fractional)
Er 0.5000 0.2436 0.4458
Er 0.5000 0.7564 0.5542
Er 0.5000 0.4458 0.2436
Er 0.5000 0.5542 0.7564
Dy 0.0000 0.2925 0.2925
Dy 0.0000 0.6325 0.3675
Dy 0.0000 0.7075 0.7075
Dy 0.0000 0.4069 0.0448
Dy 0.0000 0.0000 0.0000
Dy 0.0000 0.5931 0.9552
Dy 0.0000 0.3675 0.6325
Dy 0.0000 0.9552 0.5931
Dy 0.0000 0.8402 0.1598
Dy 0.0000 0.1598 0.8402
Dy 0.0000 0.0448 0.4069
Ho 0.5000 0.2143 0.0687
Ho 0.5000 0.9313 0.7857
Ho 0.5000 0.6315 0.1643
Ho 0.5000 0.1643 0.6315
Ho 0.5000 0.0687 0.2143
Ho 0.5000 0.5000 0.5000
Ho 0.5000 0.7857 0.9313
Ho 0.5000 0.3685 0.8357
Ho 0.5000 0.8357 0.3685

Results
Formation energy in eV per atom: 0.0510
Total moment in μB/f.u.: 0.0
Total energy in eV/f.u.: -108.8

***

A geometry-optimized Dy7HoEr12 structure. Source: Alexandria via LeMat-Bulk, functional PBE.

Unit cell a=6.6336 b=10.8265 c=10.8265 alpha=64.06 beta=78.21 gamma=101.79
Element x y z (fractional)
Dy 0.3755 0.3050 0.8345
Dy 0.9295 0.1395 0.6950
Dy 0.6245 0.6950 0.1655
Dy 0.5000 0.0000 0.0000
Dy 0.2100 0.8345 0.8605
Dy 0.7900 0.1655 0.1395
Dy 0.0705 0.8605 0.3050
Er 0.2847 0.2144 0.2127
Er 0.5026 0.7873 0.4271
Er 0.2544 0.4586 0.4795
Er 0.0703 0.5729 0.2144
Er 0.9297 0.4271 0.7856
Er 0.7957 0.0619 0.4586
Er 0.7153 0.7856 0.7873
Er 0.2043 0.9381 0.5414
Er 0.7339 0.4795 0.0619
Er 0.2661 0.5205 0.9381
Er 0.4974 0.2127 0.5729
Er 0.7456 0.5414 0.5205
Ho 0.0000 0.0000 0.0000

Results
Energy relative to the lowest polymorph listed for this composition in eV/atom: 0.036
Formation energy in eV per atom: 0.3413
Total moment in μB/f.u.: 0.0
Total energy in eV/f.u.: -84.7

***

A geometry-optimized Dy8Ho3Er2 structure. Source: Alexandria via LeMat-Bulk, functional PBE.

Unit cell a=5.5728 b=7.5781 c=10.6942 alpha=110.76 beta=90.02 gamma=90.00
Element x y z (fractional)
Dy 0.9997 0.1329 0.2660
Dy 0.5001 0.3974 0.2161
Dy 0.0006 0.6686 0.3369
Dy 0.5001 0.8187 0.2162
Dy 0.4999 0.6026 0.7839
Dy 0.4999 0.1813 0.7838
Dy 0.9994 0.3314 0.6631
Dy 0.0003 0.8671 0.7340
Er 0.5007 0.7586 0.5175
Er 0.4993 0.2414 0.4825
Ho 0.0000 0.2852 0.0000
Ho 0.0000 0.7148 0.0000
Ho 0.5000 0.0000 0.0000

Results
Formation energy in eV per atom: 0.2338
Total moment in μB/f.u.: 0.0
Total energy in eV/f.u.: -56.6

***

A geometry-optimized Dy9Ho2Er structure. Source: Alexandria via LeMat-Bulk, functional PBE.

Unit cell a=3.4723 b=11.1486 c=11.1486 alpha=120.00 beta=90.00 gamma=90.00
Element x y z (fractional)
Dy 0.5000 0.3512 0.1756
Dy 0.0000 0.5000 0.0000
Dy 0.5000 0.1756 0.3513
Dy 0.5000 0.1756 0.8244
Dy 0.0000 0.0000 0.5000
Dy 0.5000 0.8244 0.6487
Dy 0.5000 0.8244 0.1756
Dy 0.0000 0.5000 0.5000
Dy 0.5000 0.6488 0.8244
Ho 0.0000 0.3333 0.6667
Ho 0.0000 0.6667 0.3333
Er 0.0000 0.0000 0.0000

Results
Energy relative to the lowest polymorph listed for this composition in eV/atom: 0.033
Formation energy in eV per atom: 0.0540
Total moment in μB/f.u.: 0.0
Total energy in eV/f.u.: -54.5

***

A geometry-optimized Dy4Ho7Er structure. Source: Alexandria via LeMat-Bulk, functional PBE.

Unit cell a=5.8230 b=11.4527 c=6.6453 alpha=83.68 beta=64.02 gamma=75.27
Element x y z (fractional)
Ho 0.7881 0.9240 0.4997
Ho 0.0634 0.6820 0.1912
Ho 0.3672 0.4989 0.7666
Ho 0.6328 0.5011 0.2334
Ho 0.5000 0.0000 0.0000
Ho 0.9366 0.3180 0.8088
Ho 0.2119 0.0760 0.5003
Dy 0.2386 0.3222 0.2006
Dy 0.7614 0.6778 0.7994
Dy 0.3611 0.7756 0.5021
Dy 0.6389 0.2244 0.4979
Er 0.0000 0.0000 0.0000

Results
Energy relative to the lowest polymorph listed for this composition in eV/atom: 0.205
Formation energy in eV per atom: 0.2957
Total moment in μB/f.u.: 0.0
Total energy in eV/f.u.: -51.5

***

A geometry-optimized Dy7HoEr12 structure. Source: Alexandria via LeMat-Bulk, functional PBE.

Unit cell a=8.5868 b=8.5868 c=8.5868 alpha=95.08 beta=95.08 gamma=95.08
Element x y z (fractional)
Er 0.8143 0.2504 0.6865
Er 0.1482 0.4174 0.4810
Er 0.4174 0.4810 0.1482
Er 0.2504 0.6865 0.8143
Er 0.5826 0.5190 0.8518
Er 0.6865 0.8143 0.2504
Er 0.5190 0.8518 0.5826
Er 0.4810 0.1482 0.4174
Er 0.7496 0.3135 0.1857
Er 0.3135 0.1857 0.7496
Er 0.1857 0.7496 0.3135
Er 0.8518 0.5826 0.5190
Ho 0.0000 0.0000 0.0000
Dy 0.0217 0.0847 0.3535
Dy 0.9783 0.9153 0.6465
Dy 0.6465 0.9783 0.9153
Dy 0.9153 0.6465 0.9783
Dy 0.3535 0.0217 0.0847
Dy 0.0847 0.3535 0.0217
Dy 0.5000 0.5000 0.5000

Results
Energy relative to the lowest polymorph listed for this composition in eV/atom: 0.000
Formation energy in eV per atom: 0.3049
Total moment in μB/f.u.: 0.0
Total energy in eV/f.u.: -85.4

***

A geometry-optimized Dy2Ho5Er3 structure. Source: Alexandria via LeMat-Bulk, functional PBE.

Unit cell a=6.2062 b=10.9550 c=10.9550 alpha=99.87 beta=73.55 gamma=73.55
Element x y z (fractional)
Dy 0.0992 0.7439 0.0577
Dy 0.4008 0.9423 0.2561
Dy 0.9008 0.2561 0.9423
Dy 0.5992 0.0577 0.7439
Ho 0.5000 0.2500 0.2500
Ho 0.0992 0.5577 0.2440
Ho 0.0000 0.7500 0.7500
Ho 0.5992 0.2440 0.5577
Ho 0.0000 0.2500 0.2500
Ho 0.7500 0.5000 0.5000
Ho 0.4008 0.7560 0.4423
Ho 0.5000 0.7500 0.7500
Ho 0.2500 0.5000 0.5000
Ho 0.9008 0.4423 0.7560
Er 0.8404 0.9091 0.4101
Er 0.1596 0.0909 0.5899
Er 0.2500 0.0000 0.0000
Er 0.6596 0.5899 0.0909
Er 0.7500 0.0000 0.0000
Er 0.3404 0.4101 0.9091

Results
Energy relative to the lowest polymorph listed for this composition in eV/atom: 0.156
Formation energy in eV per atom: 0.3607
Total moment in μB/f.u.: 0.0
Total energy in eV/f.u.: -42.2

***

A geometry-optimized Dy12Ho3Er structure. Source: Alexandria via LeMat-Bulk, functional PBE.

Unit cell a=4.9918 b=4.9918 c=19.9539 alpha=90.00 beta=90.00 gamma=90.00
Element x y z (fractional)
Ho 0.0000 0.0000 0.7502
Ho 0.0000 0.0000 0.5000
Ho 0.0000 0.0000 0.2498
Dy 0.5000 0.0000 0.8752
Dy 0.5000 0.5000 0.0000
Dy 0.0000 0.5000 0.8752
Dy 0.5000 0.5000 0.5000
Dy 0.0000 0.5000 0.3749
Dy 0.5000 0.0000 0.6251
Dy 0.5000 0.5000 0.2497
Dy 0.5000 0.0000 0.1248
Dy 0.0000 0.5000 0.6251
Dy 0.5000 0.5000 0.7503
Dy 0.0000 0.5000 0.1248
Dy 0.5000 0.0000 0.3749
Er 0.0000 0.0000 0.0000

Results
Formation energy in eV per atom: 0.0188
Total moment in μB/f.u.: 0.0
Total energy in eV/f.u.: -73.2